{"formula": "Be2BSe", "functional": "PBE", "state": "optimized geometry", "lattice": [[5.1105, 0.0000, 0.0000], [0.0000, 5.1105, 0.0000], [2.5553, 2.5553, 4.2910]], "species": ["Se", "Se", "B", "B", "Be", "Be", "Be", "Be"], "frac_coords": [[0.7500, 0.2500, 0.5000], [0.0000, 0.0000, 0.0000], [0.2500, 0.7500, 0.5000], [0.5000, 0.5000, 0.0000], [0.1536, 0.6250, 0.2500], [0.3750, 0.4036, 0.7500], [0.5964, 0.1250, 0.2500], [0.8750, 0.8464, 0.7500]], "raw_formation_energy_ev_per_atom": 0.57, "e_above_lowest_polymorph_mev_per_atom": 0, "mass_density_g_cm3": 3.19}

---

{"formula": "Al4Tc3", "functional": "PBE", "state": "optimized geometry", "lattice": [[2.5745, -4.4591, 0.0000], [2.5745, 4.4591, 0.0000], [0.0000, 0.0000, 4.8017]], "species": ["Al", "Al", "Al", "Al", "Tc", "Tc", "Tc"], "frac_coords": [[0.0000, 0.0000, 0.2508], [0.6667, 0.3333, 0.5000], [0.3333, 0.6667, 0.5000], [0.0000, 0.0000, 0.7492], [0.0000, 0.5000, 0.0000], [0.5000, 0.5000, 0.0000], [0.5000, 0.0000, 0.0000]], "delta_e_f_ev_per_atom": -0.1392, "mass_density_g_cm3": 6.05}

---

{"formula": "YTl2Rh2", "functional": "PBE", "state": "optimized geometry", "lattice": [[7.3478, 0.0000, 0.0000], [0.0000, 7.3478, 0.0000], [0.0000, 0.0000, 3.8431]], "species": ["Tl", "Tl", "Tl", "Tl", "Rh", "Rh", "Rh", "Rh", "Y", "Y"], "frac_coords": [[0.3396, 0.1604, 0.5000], [0.6604, 0.8396, 0.5000], [0.1604, 0.6604, 0.5000], [0.8396, 0.3396, 0.5000], [0.6364, 0.1364, 0.0000], [0.3636, 0.8636, 0.0000], [0.8636, 0.6364, 0.0000], [0.1364, 0.3636, 0.0000], [0.5000, 0.5000, 0.0000], [0.0000, 0.0000, 0.0000]], "e_above_lowest_polymorph_mev_per_atom": 0, "delta_e_f_ev_per_atom": -0.2469, "mass_density_g_cm3": 11.26}

---

{"formula": "Nd2TmTl2Cd2", "functional": "PBE", "state": "optimized geometry", "lattice": [[-2.8690, -1.9998, -3.5808], [-3.6107, -3.2486, 1.2091], [-8.1425, 5.2328, 0.1034]], "species": ["Tl", "Tl", "Tm", "Cd", "Cd", "Nd", "Nd"], "frac_coords": [[0.2606, 0.2606, 0.2183], [0.7394, 0.7394, 0.7817], [0.0000, 0.0000, 0.0000], [0.6132, 0.6132, 0.1603], [0.3868, 0.3868, 0.8397], [0.1257, 0.1257, 0.6230], [0.8743, 0.8743, 0.3770]], "delta_e_f_ev_per_atom": -0.1480, "mass_density_g_cm3": 9.04}

---

{"formula": "AcPuZnHg", "functional": "PBE", "state": "optimized geometry", "lattice": [[5.4517, 0.0000, 0.0000], [2.7259, 4.7213, 0.0000], [2.7259, 1.5738, 4.4513]], "species": ["Zn", "Pu", "Hg", "Ac"], "frac_coords": [[0.0000, 0.0000, 0.0000], [0.7500, 0.7500, 0.7500], [0.5000, 0.5000, 0.5000], [0.2500, 0.2500, 0.2500]], "delta_e_f_ev_per_atom": -0.1579, "mass_density_g_cm3": 10.68}

---

{"formula": "CsPr2Nd3Te6", "functional": "PBE", "state": "optimized geometry", "lattice": [[4.5262, 0.0000, 0.0000], [0.0000, 9.4884, 0.3009], [-2.2631, -2.7702, 9.7257]], "species": ["Nd", "Nd", "Nd", "Pr", "Pr", "Cs", "Te", "Te", "Te", "Te", "Te", "Te"], "frac_coords": [[0.1613, 0.8194, 0.3226], [0.5000, 0.5000, 0.0000], [0.8387, 0.1806, 0.6774], [0.1718, 0.3468, 0.3436], [0.8282, 0.6532, 0.6564], [0.5000, 0.0000, 0.0000], [0.6780, 0.0864, 0.3561], [0.6642, 0.5846, 0.3284], [0.3220, 0.9136, 0.6439], [0.3358, 0.4154, 0.6716], [0.0038, 0.2768, 0.0076], [0.9962, 0.7232, 0.9924]], "raw_formation_energy_ev_per_atom": -1.36, "mass_density_g_cm3": 6.36}

---

{"formula": "SbSeCl2", "functional": "PBE", "state": "optimized geometry", "lattice": [[-5.5146, 4.6170, -6.6862], [-6.7628, -7.0874, 0.6836], [-7.3785, 0.1379, -1.0306]], "species": ["Sb", "Sb", "Se", "Se", "Cl", "Cl", "Cl", "Cl"], "frac_coords": [[0.0000, 0.0000, 0.0000], [0.7500, 0.2500, 0.5000], [0.2500, 0.7500, 0.5000], [0.5000, 0.5000, 0.0000], [0.3750, 0.2261, 0.7500], [0.9761, 0.6250, 0.2500], [0.7739, 0.1250, 0.2500], [0.8750, 0.0239, 0.7500]], "raw_formation_energy_ev_per_atom": -0.19, "e_above_lowest_polymorph_mev_per_atom": 207, "mass_density_g_cm3": 3.46}

---

{"formula": "BaSn", "functional": "PBE", "state": "optimized geometry", "lattice": [[12.8867, 0.0000, 0.0000], [0.0000, 12.8867, 0.0000], [0.0000, 0.0000, 4.1214]], "species": ["Sn", "Sn", "Sn", "Sn", "Sn", "Sn", "Sn", "Sn", "Ba", "Ba", "Ba", "Ba", "Ba", "Ba", "Ba", "Ba"], "frac_coords": [[0.0767, 0.6113, 0.0000], [0.3887, 0.0767, 0.0000], [0.9233, 0.3887, 0.0000], [0.8887, 0.5767, 0.5000], [0.1113, 0.4233, 0.5000], [0.4233, 0.8887, 0.5000], [0.5767, 0.1113, 0.5000], [0.6113, 0.9233, 0.0000], [0.6128, 0.6938, 0.5000], [0.3062, 0.6128, 0.5000], [0.6938, 0.3872, 0.5000], [0.1128, 0.1938, 0.0000], [0.8872, 0.8062, 0.0000], [0.1938, 0.8872, 0.0000], [0.3872, 0.3062, 0.5000], [0.8062, 0.1128, 0.0000]], "delta_e_f_ev_per_atom": -0.2054, "mass_density_g_cm3": 4.97}

---

DFT total energy, respectively: -3.8368, -6.7203, -5.4268, -3.0866, -5.1619, -4.9861, -3.0105, -3.1681 eV/atom.
Fermi-level density of states, respectively: 0.536, 0.487, 0.635, 0.780, 3.141, 0.336, 1.336, 1.046 states/eV/atom.
V, respectively: 112.1, 110.2, 207.5, 200.4, 114.6, 421.5, 260.7, 684.4 Å³ per cell.